# 1
Density functional theory data (meta-GGA SCAN) for a PBEsol-optimized structure of K3BiP.

Energy of formation   1.6 eV/f.u.
Space-group type   Pm-3m, No. 221

Lattice parameters (Å, degrees): 6.6445 6.6445 6.6445 90.00 90.00 90.00
Closest atoms and distances in Å follow each position.
Atoms (fractional coordinates):
K1 0.0000 0.0000 0.5000  2 Bi 3.32
K2 0.0000 0.5000 0.0000  2 Bi 3.32
K3 0.5000 0.0000 0.0000  2 Bi 3.32
Bi1 0.0000 0.0000 0.0000  6 K 3.32
P1 0.5000 0.5000 0.5000  12 K 4.70

# 2
Density functional theory data (meta-GGA SCAN) for a PBEsol-optimized structure of ScMn2ZnI.

Uncorrected formation energy   97.98 kJ/mol of atoms
Space-group type   P4/mmm, No. 123

Lattice parameters (Å, degrees): 4.7800 4.7800 5.1815 90.00 90.00 90.00
Closest atoms and distances in Å follow each position.
Atoms (fractional coordinates):
Sc1 0.0000 0.0000 0.0000  4 Mn 2.39, 2 Zn 2.59
Mn1 0.0000 0.5000 0.0000  2 Sc 2.39
Mn2 0.5000 0.0000 0.0000  2 Sc 2.39
Zn1 0.0000 0.0000 0.5000  2 Sc 2.59
I1 0.5000 0.5000 0.5000  4 Zn 3.38, 8 Mn 3.52

# 3
Density functional theory data (meta-GGA SCAN) for a PBEsol-optimized structure of AgPt2.

Distance to the lowest polymorph of the same formula   48 meV per atom
Energy of formation   0.1 eV/f.u.
Space-group type   Cm, No. 8

Lattice parameters (Å, degrees): 7.3646 7.3646 9.7574 108.83 108.83 21.64
Closest atoms and distances in Å follow each position.
Atoms (fractional coordinates):
Ag1 0.0000 0.0000 0.0000  6 Ag 2.76-2.82, 6 Pt 2.78-2.82
Ag2 0.5020 0.5020 0.2503  7 Pt 2.74-2.83, 5 Ag 2.76-2.80
Ag3 0.6688 0.6688 0.1699  7 Pt 2.75-2.85, 5 Ag 2.76-2.82
Ag4 0.8376 0.8376 0.5861  2 Ag 2.76, 10 Pt 2.78-2.82
Pt1 0.0045 0.0045 0.5038  9 Pt 2.73-2.82, 3 Ag 2.78-2.82
Pt2 0.1677 0.1677 0.9140  9 Pt 2.73-2.79, 3 Ag 2.82-2.85
Pt3 0.1703 0.1703 0.4209  6 Pt 2.76-2.83, 6 Ag 2.79-2.82
Pt4 0.3319 0.3319 0.8340  8 Pt 2.73-2.83, 4 Ag 2.80-2.81
Pt5 0.3392 0.3392 0.3357  5 Ag 2.74-2.82, 7 Pt 2.76-2.83
Pt6 0.5034 0.5034 0.7546  8 Pt 2.75-2.83, 4 Ag 2.78-2.79
Pt7 0.6669 0.6669 0.6647  11 Pt 2.73-2.79, 1 Ag 2.82
Pt8 0.8315 0.8315 0.0824  4 Ag 2.75-2.83, 8 Pt 2.76-2.80

# 4
Density functional theory data (meta-GGA SCAN) for a PBEsol-optimized structure of BeCu2WAu.

Energy of formation   9.2 eV/f.u.
Space-group type   P4/mmm, No. 123

Lattice parameters (Å, degrees): 4.5496 4.5496 4.8403 90.00 90.00 90.00
Closest atoms and distances in Å follow each position.
Atoms (fractional coordinates):
Be1 0.0000 0.0000 0.0000  4 W 3.22, 8 Cu 3.32
Cu1 0.0000 0.5000 0.5000  2 Au 2.27
Cu2 0.5000 0.0000 0.5000  2 Au 2.27
W1 0.5000 0.5000 0.0000  2 Au 2.42
Au1 0.5000 0.5000 0.5000  4 Cu 2.27, 2 W 2.42

# 5
Density functional theory data (meta-GGA SCAN) for a PBEsol-optimized structure of MgTcS2.

Uncorrected formation energy   -12.93 kJ/mol of atoms
Space-group type   R-3m, No. 166

Lattice parameters (Å, degrees): 3.1697 3.1697 23.3302 90.00 90.00 120.00
Closest atoms and distances in Å follow each position.
Atoms (fractional coordinates):
Mg1 0.0000 0.0000 0.0000  6 S 2.48
Mg2 0.3333 0.6667 0.6667  6 S 2.48
Mg3 0.6667 0.3333 0.3333  6 S 2.48
Tc1 0.0000 0.0000 0.5000  2 S 2.22
Tc2 0.3333 0.6667 0.1667  2 S 2.22
Tc3 0.6667 0.3333 0.8333  2 S 2.22
S1 0.0000 0.0000 0.4049  1 Tc 2.22, 3 Mg 2.48
S2 0.0000 0.0000 0.5951  1 Tc 2.22, 3 Mg 2.48
S3 0.3333 0.6667 0.0715  1 Tc 2.22, 3 Mg 2.48
S4 0.3333 0.6667 0.2618  1 Tc 2.22, 3 Mg 2.48
S5 0.6667 0.3333 0.7382  1 Tc 2.22, 3 Mg 2.48
S6 0.6667 0.3333 0.9285  1 Tc 2.22, 3 Mg 2.48

# 6
Density functional theory data (meta-GGA SCAN) for a PBEsol-optimized structure of Sc2BeC.

Distance to the lowest polymorph of the same formula   0 meV per atom
Energy of formation   0.6 eV/f.u.
Space-group type   R-3m, No. 166

Lattice parameters (Å, degrees): 3.2071 3.2071 24.0145 90.00 90.00 120.00
Closest atoms and distances in Å follow each position.
Atoms (fractional coordinates):
Sc1 0.0000 0.0000 0.1158  3 C 2.22
Sc2 0.0000 0.0000 0.8842  3 C 2.22
Sc3 0.3333 0.6667 0.5509  3 C 2.22
Sc4 0.3333 0.6667 0.7824  3 C 2.22
Sc5 0.6667 0.3333 0.2176  3 C 2.22
Sc6 0.6667 0.3333 0.4491  3 C 2.22
Be1 0.0000 0.0000 0.0000  2 Sc 2.78
Be2 0.3333 0.6667 0.6667  2 Sc 2.78
Be3 0.6667 0.3333 0.3333  2 Sc 2.78
C1 0.0000 0.0000 0.5000  6 Sc 2.22
C2 0.3333 0.6667 0.1667  6 Sc 2.22
C3 0.6667 0.3333 0.8333  6 Sc 2.22

# 7
Density functional theory data (meta-GGA SCAN) for a PBEsol-optimized structure of TlAsPd3.

Energy of formation   -0.1 eV/f.u.
Space-group type   Pm-3m, No. 221

Lattice parameters (Å, degrees): 4.6334 4.6334 4.6334 90.00 90.00 90.00
Closest atoms and distances in Å follow each position.
Atoms (fractional coordinates):
Tl1 0.0000 0.0000 0.0000  12 Pd 3.28
As1 0.5000 0.5000 0.5000  6 Pd 2.32
Pd1 0.0000 0.5000 0.5000  2 As 2.32
Pd2 0.5000 0.0000 0.5000  2 As 2.32
Pd3 0.5000 0.5000 0.0000  2 As 2.32

# 8
Density functional theory data (meta-GGA SCAN) for a PBEsol-optimized structure of BP2SeO.

Uncorrected formation energy   27.42 kJ/mol of atoms
Space-group type   P4/mmm, No. 123

Lattice parameters (Å, degrees): 5.1025 5.1025 2.6655 90.00 90.00 90.00
Closest atoms and distances in Å follow each position.
Atoms (fractional coordinates):
B1 0.0000 0.0000 0.0000  2 O 1.33
P1 0.0000 0.5000 0.0000  2 B 2.55, 2 P 2.67
P2 0.5000 0.0000 0.0000  2 B 2.55, 2 P 2.67
Se1 0.5000 0.5000 0.5000  2 Se 2.67, 8 P 2.88
O1 0.0000 0.0000 0.5000  2 B 1.33

Copy entry 4 word for word.
Density functional theory data (meta-GGA SCAN) for a PBEsol-optimized structure of BeCu2WAu.

Energy of formation   9.2 eV/f.u.
Space-group type   P4/mmm, No. 123

Lattice parameters (Å, degrees): 4.5496 4.5496 4.8403 90.00 90.00 90.00
Closest atoms and distances in Å follow each position.
Atoms (fractional coordinates):
Be1 0.0000 0.0000 0.0000  4 W 3.22, 8 Cu 3.32
Cu1 0.0000 0.5000 0.5000  2 Au 2.27
Cu2 0.5000 0.0000 0.5000  2 Au 2.27
W1 0.5000 0.5000 0.0000  2 Au 2.42
Au1 0.5000 0.5000 0.5000  4 Cu 2.27, 2 W 2.42